TbPr2Al | GGA-PBE | optimized geometry

Computed properties:
Electronic total energy   -18.1 eV/f.u.
Energy above the lowest structure with this stoichiometry   123 meV per atom
Total magnetization   0.0 μB per formula unit
Symmetry   Fm-3m
DFT formation energy   -1.1 kcal/mol of atoms
DOS at the Fermi energy   6.53 states/eV per cell

The structure in extended XYZ format:
```
4
Lattice="5.4992 0.0000 0.0000 2.7496 4.7625 0.0000 2.7496 1.5875 4.4901" Properties=species:S:1:pos:R:3 pbc="T T T"
Tb 0.0000 0.0000 0.0000
Al 5.4992 3.1750 2.2451
Pr 8.2488 4.7625 3.3676
Pr 2.7496 1.5875 1.1225
```

***

Tb12PrAl6 | GGA-PBE | optimized geometry

Computed properties:
Electronic total energy   -82.7 eV/f.u.
Total magnetization   0.0 μB per formula unit
Symmetry   R-3m
DFT formation energy   0.1 kcal/mol of atoms
DOS at the Fermi energy   28.59 states/eV per cell

The structure in extended XYZ format:
```
19
Lattice="-7.5227 -4.0911 0.9778 2.1985 -1.9446 -8.1037 5.4188 -4.8148 4.6625" Properties=species:S:1:pos:R:3 pbc="T T T"
Tb 4.9755 -5.7008 0.1714
Tb 3.7492 -4.6078 -4.6900
Pr 0.0000 0.0000 0.0000
Tb 1.2736 -6.5183 3.6297
Tb -1.1790 -4.3322 -6.0931
Tb -1.9806 -7.0930 -1.0951
Al -0.9356 -7.2901 1.8541
Tb -1.4219 -3.5619 -2.3640
Al -3.4221 -4.5435 -0.1583
Tb -0.5517 -4.3375 1.0858
Tb 2.0752 -3.7575 -1.3683
Tb 1.5165 -7.2886 -0.0994
Al 3.5167 -6.3070 -2.3051
Tb -4.8809 -5.1497 -2.6348
Tb -3.6546 -6.2427 2.2266
Al -2.4105 -5.9755 -3.9926
Tb 0.6463 -6.5130 -3.5492
Al 2.5050 -4.8750 1.5292
Al 1.0302 -3.5604 -4.3176
```

***

Tb3PrAl8 | GGA-PBE | optimized geometry

Computed properties:
Electronic total energy   -54.7 eV/f.u.
Energy above the lowest structure with this stoichiometry   0 meV per atom
Total magnetization   0.0 μB per formula unit
Symmetry   R3m
DFT formation energy   -11.7 kcal/mol of atoms
DOS at the Fermi energy   10.33 states/eV per cell

The structure in extended XYZ format:
```
12
Lattice="5.6043 0.0000 0.0000 2.8021 4.8534 0.0000 2.8021 1.6178 9.1987" Properties=species:S:1:pos:R:3 pbc="T T T"
Al 8.4064 3.2311 6.3510
Tb 5.6043 3.2356 8.0362
Al 4.2011 2.4255 1.6955
Al 9.8113 5.6646 6.3510
Al 7.0074 2.4255 1.6955
Al 7.0014 5.6646 6.3510
Tb 5.6043 3.2356 4.6137
Al 8.4064 4.8534 8.6168
Al 2.8021 1.6178 4.0348
Al 5.6043 4.8558 1.6955
Tb 2.8021 1.6178 9.1978
Pr 8.4064 4.8534 3.4526
```

***

Tb3PrAl | GGA-PBE | optimized geometry

Computed properties:
Electronic total energy   -23.1 eV/f.u.
Energy above the lowest structure with this stoichiometry   0 meV per atom
Total magnetization   0.0 μB per formula unit
Symmetry   C2/m
DFT formation energy   -3.1 kcal/mol of atoms
DOS at the Fermi energy   11.43 states/eV per cell

The structure in extended XYZ format:
```
10
Lattice="3.6430 0.0005 -0.6731 -0.3727 8.4330 -2.0305 -0.0814 -0.1032 9.7459" Properties=species:S:1:pos:R:3 pbc="T T T"
Al -0.2309 5.6305 1.3572
Tb 0.6216 2.4851 5.9795
Tb 1.3562 3.3864 -0.2457
Al 2.7044 4.5761 7.0522
Pr 2.8706 0.4474 7.9567
Pr -0.0245 1.3260 2.4829
Tb 1.9618 4.1668 3.0286
Tb 1.1987 6.9236 -1.0910
Tb 1.8517 7.7211 2.4295
Tb 0.5118 6.0395 5.3803
```

***

Tb3PrAl2 | GGA-PBE | optimized geometry

Computed properties:
Electronic total energy   -27.2 eV/f.u.
Energy above the lowest structure with this stoichiometry   72 meV per atom
Total magnetization   0.0 μB per formula unit
Symmetry   C2/m
DFT formation energy   -4.2 kcal/mol of atoms
DOS at the Fermi energy   11.76 states/eV per cell

The structure in extended XYZ format:
```
12
Lattice="-4.1315 0.2236 3.2474 -0.3356 -8.1270 -4.1268 5.4971 2.0249 6.8541" Properties=species:S:1:pos:R:3 pbc="T T T"
Al -2.5933 -3.9258 1.2305
Al 2.6940 1.5878 7.5775
Al 3.6233 -1.9528 4.7442
Pr -0.1984 -1.9404 -0.1188
Al -1.6640 -7.4663 -1.6028
Tb -0.2180 -5.5336 0.1038
Tb -0.8704 -2.1251 3.2985
Pr 1.2284 -3.9381 6.0935
Tb -0.9196 -5.7096 3.4827
Tb 1.9496 -0.1690 2.4920
Tb 1.2480 -0.3449 5.8709
Tb 1.9004 -3.7534 2.6762
```

***

Tb4Pr15Al | GGA-PBE | optimized geometry

Computed properties:
Electronic total energy   -94.2 eV/f.u.
Total magnetization   0.0 μB per formula unit
Symmetry   P4/mmm
DFT formation energy   -0.3 kcal/mol of atoms
DOS at the Fermi energy   26.92 states/eV per cell

The structure in extended XYZ format:
```
20
Lattice="-0.4882 3.3590 3.8508 -2.8623 -3.3843 2.5892 21.3625 -9.5931 11.0764" Properties=species:S:1:pos:R:3 pbc="T T T"
Pr 4.9185 -4.5435 4.5868
Pr 1.7544 0.7821 2.9616
Pr -1.6752 -0.0126 3.2200
Pr 10.4371 -3.1171 7.4636
Pr 6.1055 -1.1719 5.2176
Pr 17.9329 -10.3878 11.3348
Tb 17.1737 -7.7121 8.9045
Tb 8.5241 -3.8279 4.4197
Tb 4.1888 -1.8810 2.1719
Pr 13.5818 -8.4339 9.0787
Pr 2.5019 -1.8885 5.3858
Pr 0.5674 -2.5896 2.3308
Al 0.0000 0.0000 0.0000
Pr 14.7688 -5.0623 9.7095
Pr 19.1199 -7.0162 11.9656
Pr 11.1749 -5.7832 9.8828
Pr 9.2501 -6.4887 6.8328
Tb 12.8384 -5.7653 6.6567
Pr 6.8371 -3.8352 7.6336
Pr 15.5101 -7.7300 12.1306
```

***

TbPr2Al2 | GGA-PBE | optimized geometry

Computed properties:
Electronic total energy   -23.2 eV/f.u.
Total magnetization   0.0 μB per formula unit
Symmetry   Immm
DFT formation energy   -7.0 kcal/mol of atoms
DOS at the Fermi energy   4.49 states/eV per cell

The structure in extended XYZ format:
```
5
Lattice="4.9721 0.0000 0.0000 2.4861 5.3257 -0.2781 2.4861 1.1582 5.2056" Properties=species:S:1:pos:R:3 pbc="T T T"
Al 4.9721 2.4204 3.5448
Al 4.9721 4.0635 1.3828
Tb 0.0000 0.0000 0.0000
Pr 7.4582 4.5267 3.4401
Pr 2.4861 1.9572 1.4874
```

***

Tb2Pr8Al | GGA-PBE | optimized geometry

Computed properties:
Electronic total energy   -50.9 eV/f.u.
Total magnetization   0.0 μB per formula unit
Symmetry   C2/m
DFT formation energy   0.7 kcal/mol of atoms
DOS at the Fermi energy   14.96 states/eV per cell

The structure in extended XYZ format:
```
11
Lattice="5.5506 0.0000 0.0000 0.0000 8.1537 0.0504 -2.7753 -3.4570 8.2620" Properties=species:S:1:pos:R:3 pbc="T T T"
Pr 2.7753 -1.4707 8.0097
Pr 0.0000 1.9543 6.5973
Pr 2.7753 6.3449 2.7145
Tb 2.7753 0.6810 5.1139
Pr 2.7753 2.7424 1.7151
Al 2.7753 0.0000 0.0000
Pr 0.0000 -1.6482 5.5979
Pr 0.0000 6.1674 0.3028
Tb 0.0000 4.0157 3.1986
Pr 2.7753 4.1126 5.3824
Pr 0.0000 0.5842 2.9300
```

***

Repeat the first record exactly.
TbPr2Al | GGA-PBE | optimized geometry

Computed properties:
Electronic total energy   -18.1 eV/f.u.
Energy above the lowest structure with this stoichiometry   123 meV per atom
Total magnetization   0.0 μB per formula unit
Symmetry   Fm-3m
DFT formation energy   -1.1 kcal/mol of atoms
DOS at the Fermi energy   6.53 states/eV per cell

The structure in extended XYZ format:
```
4
Lattice="5.4992 0.0000 0.0000 2.7496 4.7625 0.0000 2.7496 1.5875 4.4901" Properties=species:S:1:pos:R:3 pbc="T T T"
Tb 0.0000 0.0000 0.0000
Al 5.4992 3.1750 2.2451
Pr 8.2488 4.7625 3.3676
Pr 2.7496 1.5875 1.1225
```

***

Which formula does entry 1 have?
TbPr2Al

***

Which value of electronic total energy does entry 8 give?
-50.9 eV/f.u.

***

What did the sixth record say?
Tb4Pr15Al | GGA-PBE | optimized geometry

Computed properties:
Electronic total energy   -94.2 eV/f.u.
Total magnetization   0.0 μB per formula unit
Symmetry   P4/mmm
DFT formation energy   -0.3 kcal/mol of atoms
DOS at the Fermi energy   26.92 states/eV per cell

The structure in extended XYZ format:
```
20
Lattice="-0.4882 3.3590 3.8508 -2.8623 -3.3843 2.5892 21.3625 -9.5931 11.0764" Properties=species:S:1:pos:R:3 pbc="T T T"
Pr 4.9185 -4.5435 4.5868
Pr 1.7544 0.7821 2.9616
Pr -1.6752 -0.0126 3.2200
Pr 10.4371 -3.1171 7.4636
Pr 6.1055 -1.1719 5.2176
Pr 17.9329 -10.3878 11.3348
Tb 17.1737 -7.7121 8.9045
Tb 8.5241 -3.8279 4.4197
Tb 4.1888 -1.8810 2.1719
Pr 13.5818 -8.4339 9.0787
Pr 2.5019 -1.8885 5.3858
Pr 0.5674 -2.5896 2.3308
Al 0.0000 0.0000 0.0000
Pr 14.7688 -5.0623 9.7095
Pr 19.1199 -7.0162 11.9656
Pr 11.1749 -5.7832 9.8828
Pr 9.2501 -6.4887 6.8328
Tb 12.8384 -5.7653 6.6567
Pr 6.8371 -3.8352 7.6336
Pr 15.5101 -7.7300 12.1306
```